# SiPbBr3

An optimized crystal structure of SiPbBr3 (GGA-PBE, Alexandria via LeMat-Bulk).

CIF file:
```
data_SiPbBr3
_chemical_formula_sum 'Si1 Pb1 Br3'
_cell_length_a 5.8539
_cell_length_b 5.8539
_cell_length_c 5.8539
_cell_angle_alpha 90.00
_cell_angle_beta 90.00
_cell_angle_gamma 90.00
_symmetry_space_group_name_H-M 'P 1'
_symmetry_Int_Tables_number 1
loop_
_symmetry_equiv_pos_as_xyz
'x,y,z'
loop_
_atom_site_label
_atom_site_type_symbol
_atom_site_fract_x
_atom_site_fract_y
_atom_site_fract_z
Si1 Si 0.5000 0.5000 0.5000
Br1 Br 0.0000 0.0000 0.5000
Br2 Br 0.0000 0.5000 0.0000
Br3 Br 0.5000 0.0000 0.0000
Pb1 Pb 0.0000 0.0000 0.0000
```

## Properties
For the total magnetization, the calculation gives 1.0 Bohr magnetons per cell. Its total energy is -13.3 eV for the cell shown.


# CaP

An optimized crystal structure of CaP (GGA-PBE, Alexandria via LeMat-Bulk).

CIF file:
```
data_CaP
_chemical_formula_sum 'Ca3 P3'
_cell_length_a 4.9774
_cell_length_b 4.9774
_cell_length_c 5.9442
_cell_angle_alpha 88.37
_cell_angle_beta 88.37
_cell_angle_gamma 68.27
_symmetry_space_group_name_H-M 'P 1'
_symmetry_Int_Tables_number 1
loop_
_symmetry_equiv_pos_as_xyz
'x,y,z'
loop_
_atom_site_label
_atom_site_type_symbol
_atom_site_fract_x
_atom_site_fract_y
_atom_site_fract_z
Ca1 Ca 0.5000 0.5000 0.5000
P1 P 0.1170 0.1170 0.4029
P2 P 0.8830 0.8830 0.5971
P3 P 0.5000 0.5000 0.0000
Ca2 Ca 0.8306 0.8306 0.1236
Ca3 Ca 0.1694 0.1694 0.8764
```

## Properties
For the total magnetization, the calculation gives 0.0 Bohr magnetons per cell. Its total energy is -27.6 eV for the cell shown.


# NaBe2GeMo

An optimized crystal structure of NaBe2GeMo (GGA-PBE, Alexandria via LeMat-Bulk).

CIF file:
```
data_NaBe2GeMo
_chemical_formula_sum 'Na1 Be2 Ge1 Mo1'
_cell_length_a 4.3271
_cell_length_b 4.8378
_cell_length_c 4.3271
_cell_angle_alpha 90.00
_cell_angle_beta 90.00
_cell_angle_gamma 90.00
_symmetry_space_group_name_H-M 'P 1'
_symmetry_Int_Tables_number 1
loop_
_symmetry_equiv_pos_as_xyz
'x,y,z'
loop_
_atom_site_label
_atom_site_type_symbol
_atom_site_fract_x
_atom_site_fract_y
_atom_site_fract_z
Be1 Be 0.0000 0.0000 0.5000
Mo1 Mo 0.0000 0.5000 0.0000
Ge1 Ge 0.0000 0.0000 0.0000
Be2 Be 0.5000 0.0000 0.0000
Na1 Na 0.5000 0.5000 0.5000
```

## Properties
For the total magnetization, the calculation gives 2.0 Bohr magnetons per cell. Its total energy is -19.2 eV for the cell shown.


- Which of these has the highest total magnetization?
  NaBe2GeMo


- What is the total magnetization in the second record?
  0.0 Bohr magnetons per cell


- What is the formula in the second record?
  CaP


What did the second record say?
# CaP

An optimized crystal structure of CaP (GGA-PBE, Alexandria via LeMat-Bulk).

CIF file:
```
data_CaP
_chemical_formula_sum 'Ca3 P3'
_cell_length_a 4.9774
_cell_length_b 4.9774
_cell_length_c 5.9442
_cell_angle_alpha 88.37
_cell_angle_beta 88.37
_cell_angle_gamma 68.27
_symmetry_space_group_name_H-M 'P 1'
_symmetry_Int_Tables_number 1
loop_
_symmetry_equiv_pos_as_xyz
'x,y,z'
loop_
_atom_site_label
_atom_site_type_symbol
_atom_site_fract_x
_atom_site_fract_y
_atom_site_fract_z
Ca1 Ca 0.5000 0.5000 0.5000
P1 P 0.1170 0.1170 0.4029
P2 P 0.8830 0.8830 0.5971
P3 P 0.5000 0.5000 0.0000
Ca2 Ca 0.8306 0.8306 0.1236
Ca3 Ca 0.1694 0.1694 0.8764
```

## Properties
For the total magnetization, the calculation gives 0.0 Bohr magnetons per cell. Its total energy is -27.6 eV for the cell shown.